No. 1
An optimized crystal structure of PmZnCuPt2, computed with PBE.

Calculated values
E_tot	-5.131	eV/atom
calculated volume	18.763	A^3/atom

Lattice parameters (Å, degrees): 3.9229 3.9229 12.1920 90.00 90.00 90.00
Last column: nearest neighbours and their distance in Å.
Space group I-4m2 (No. 119)
Unique sites:
Pm 0.0000 0.0000 0.0000 x2  8 Pt 3.08
Zn 0.0000 0.5000 0.7500 x2  4 Pt 2.60, 4 Cu 2.77
Cu 0.0000 0.5000 0.2500 x2  4 Pt 2.60, 4 Zn 2.77
Pt 0.0000 0.0000 0.3894 x4  2 Cu 2.60, 2 Zn 2.60, 1 Pt 2.70



No. 2
An optimized crystal structure of Pm2ZnCuPt6, computed with PBE.

Calculated values
E_tot	-5.340	eV/atom
calculated volume	20.464	A^3/atom

Lattice parameters (Å, degrees): 9.3544 9.3544 9.3544 90.00 90.00 90.00
Last column: nearest neighbours and their distance in Å.
Space group Fm-3m (No. 225)
Unique sites:
Pm 0.2500 0.2500 0.2500 x8  12 Pt 3.31
Zn 0.0000 0.0000 0.0000 x4  6 Pt 2.34
Cu 0.0000 0.0000 0.5000 x4  6 Pt 2.34
Pt 0.0000 0.0000 0.2504 x24  1 Cu 2.34, 1 Zn 2.34



No. 3
An optimized crystal structure of PmZnCuPt, computed with PBE.

Calculated values
E_tot	-4.509	eV/atom
calculated volume	18.822	A^3/atom

Lattice parameters (Å, degrees): 6.7029 6.7029 6.7029 90.00 90.00 90.00
Last column: nearest neighbours and their distance in Å.
Space group F-43m (No. 216)
Unique sites:
Pm 0.0000 0.0000 0.0000 x4  4 Cu 2.90, 4 Pt 2.90
Zn 0.0000 0.0000 0.5000 x4  4 Cu 2.90, 4 Pt 2.90
Cu 0.2500 0.2500 0.2500 x4  4 Pm 2.90, 4 Zn 2.90
Pt 0.2500 0.2500 0.7500 x4  4 Pm 2.90, 4 Zn 2.90



No. 4
An optimized crystal structure of PmZrCuPt, computed with PBE.

Calculated values
E_tot	-6.350	eV/atom
calculated volume	20.486	A^3/atom

Lattice parameters (Å, degrees): 6.8948 6.8948 6.8948 90.00 90.00 90.00
Last column: nearest neighbours and their distance in Å.
Space group F-43m (No. 216)
Unique sites:
Pm 0.0000 0.0000 0.0000 x4  4 Cu 2.99, 4 Pt 2.99
Zr 0.0000 0.0000 0.5000 x4  4 Pt 2.99, 4 Cu 2.99
Cu 0.2500 0.2500 0.2500 x4  4 Zr 2.99, 4 Pm 2.99
Pt 0.2500 0.2500 0.7500 x4  4 Zr 2.99, 4 Pm 2.99



No. 5
An optimized crystal structure of Pm2PuCu, computed with PBE.

Calculated values
E_tot	-6.642	eV/atom
energy relative to the lowest polymorph listed for this composition	1.21	eV/f.u.
calculated volume	28.729	A^3/atom

Lattice parameters (Å, degrees): 3.4568 3.4568 33.3127 90.00 90.00 120.00
Last column: nearest neighbours and their distance in Å.
Space group R-3m (No. 166, hexagonal axes)
Unique sites:
Pm 0.0000 0.0000 0.1013 x6  3 Cu 2.95
Pu 0.0000 0.0000 0.0000 x3  2 Pm 3.38, 6 Pu 3.46
Cu 0.0000 0.0000 0.5000 x3  6 Pm 2.95



No. 6
An optimized crystal structure of PmPuCu2, computed with PBE.

Calculated values
E_tot	-6.797	eV/atom
energy relative to the lowest polymorph listed for this composition	0.13	eV/f.u.
calculated volume	21.922	A^3/atom

Lattice parameters (Å, degrees): 7.0523 7.0523 7.0523 90.00 90.00 90.00
Last column: nearest neighbours and their distance in Å.
Space group Fm-3m (No. 225)
Unique sites:
Pm 0.0000 0.0000 0.0000 x4  8 Cu 3.05
Pu 0.0000 0.0000 0.5000 x4  8 Cu 3.05
Cu 0.2500 0.2500 0.2500 x8  4 Pm 3.05, 4 Pu 3.05



No. 7
An optimized crystal structure of Pm4PuCu5, computed with PBE.

Calculated values
E_tot	-5.480	eV/atom
calculated volume	22.294	A^3/atom

Lattice parameters (Å, degrees): 3.5267 3.5267 17.9244 90.00 90.00 90.00
Last column: nearest neighbours and their distance in Å.
Space group P4/mmm (No. 123)
Unique sites:
Pm 0.0000 0.0000 0.1008 x2  8 Cu 3.08
Pm 0.0000 0.0000 0.3032 x2  8 Cu 3.06-3.09
Pu 0.0000 0.0000 0.5000 x1  8 Cu 3.05
Cu 0.5000 0.5000 0.0000 x1  8 Pm 3.08
Cu 0.5000 0.5000 0.2013 x2  8 Pm 3.08-3.09
Cu 0.5000 0.5000 0.4019 x2  4 Pu 3.05, 4 Pm 3.06



No. 8
An optimized crystal structure of PmPuCu2, computed with PBE.

Calculated values
E_tot	-6.828	eV/atom
energy relative to the lowest polymorph listed for this composition	0.00	eV/f.u.
calculated volume	21.680	A^3/atom

Lattice parameters (Å, degrees): 3.4820 3.4820 7.1527 90.00 90.00 90.00
Last column: nearest neighbours and their distance in Å.
Space group P4/mmm (No. 123)
Unique sites:
Pm 0.0000 0.0000 0.0000 x1  8 Cu 3.05
Pu 0.0000 0.0000 0.5000 x1  8 Cu 3.04
Cu 0.5000 0.5000 0.2519 x2  4 Pu 3.04, 4 Pm 3.05



No. 9
An optimized crystal structure of Pm2PuCu, computed with PBE.

Calculated values
E_tot	-6.946	eV/atom
energy relative to the lowest polymorph listed for this composition	0.00	eV/f.u.
calculated volume	26.788	A^3/atom

Lattice parameters (Å, degrees): 3.5390 3.5390 8.5552 90.00 90.00 90.00
Last column: nearest neighbours and their distance in Å.
Space group P4/mmm (No. 123)
Unique sites:
Pm 0.0000 0.0000 0.2079 x2  4 Cu 3.07
Pu 0.5000 0.5000 0.5000 x1  8 Pm 3.54, 4 Pu 3.54
Cu 0.5000 0.5000 0.0000 x1  8 Pm 3.07



No. 10
An optimized crystal structure of PmPuCu2, computed with PBE.

Calculated values
E_tot	-6.591	eV/atom
energy relative to the lowest polymorph listed for this composition	0.95	eV/f.u.
calculated volume	24.216	A^3/atom

Lattice parameters (Å, degrees): 3.7984 3.7984 23.2568 90.00 90.00 120.00
Last column: nearest neighbours and their distance in Å.
Space group R-3m (No. 166, hexagonal axes)
Unique sites:
Pm 0.0000 0.0000 0.0000 x3  6 Cu 2.93
Pu 0.0000 0.0000 0.5000 x3  6 Cu 2.92
Cu 0.0000 0.0000 0.2497 x6  3 Pu 2.92, 3 Pm 2.93



No. 11
An optimized crystal structure of PmPu2Cu9, computed with PBE.

Calculated values
E_tot	-5.953	eV/atom
calculated volume	16.114	A^3/atom

Lattice parameters (Å, degrees): 5.1587 5.1587 25.1710 90.00 90.00 120.00
Last column: nearest neighbours and their distance in Å.
Space group R-3m (No. 166, hexagonal axes)
Unique sites:
Pm 0.0000 0.0000 0.0000 x3  18 Cu 2.98-3.29
Pu 0.0000 0.0000 0.1478 x6  12 Cu 3.02-3.08, 3 Pu 3.13
Cu 0.0000 0.0000 0.3317 x6  6 Cu 2.50-2.55
Cu 0.0000 0.0000 0.5000 x3  6 Cu 2.61
Cu 0.0038 0.5019 0.0811 x18  7 Cu 2.50-2.61



No. 12
An optimized crystal structure of PmPu2Cu6, computed with PBE.

Calculated values
E_tot	-6.497	eV/atom
calculated volume	18.515	A^3/atom

Lattice parameters (Å, degrees): 7.5730 7.5730 3.3551 90.00 90.00 120.00
Last column: nearest neighbours and their distance in Å.
Space group P6/mmm (No. 191)
Unique sites:
Pm 0.0000 0.0000 0.0000 x1  12 Cu 3.04, 2 Pm 3.36
Pu 0.3333 0.6667 0.0000 x2  12 Cu 3.03, 2 Pu 3.36
Cu 0.0000 0.3344 0.5000 x6  3 Cu 2.51-2.53



No. 13
An optimized crystal structure of Pm2PuCu6, computed with PBE.

Calculated values
E_tot	-5.521	eV/atom
calculated volume	19.134	A^3/atom

Lattice parameters (Å, degrees): 7.4666 7.4666 3.5668 90.00 90.00 120.00
Last column: nearest neighbours and their distance in Å.
Space group P6/mmm (No. 191)
Unique sites:
Pm 0.3333 0.6667 0.0000 x2  12 Cu 3.07
Pu 0.0000 0.0000 0.0000 x1  12 Cu 3.06
Cu 0.0000 0.3323 0.5000 x6  3 Cu 2.48-2.50



No. 14
An optimized crystal structure of PmPuCu2S4, computed with PBE.

Calculated values
E_form (uncorrected)	-1.10	eV per atom
E_tot	-6.569	eV/atom
calculated volume	19.794	A^3/atom

Lattice parameters (Å, degrees): 6.5716 6.5864 7.3171 90.00 90.00 90.00
Last column: nearest neighbours and their distance in Å.
Space group I222 (No. 23)
Unique sites:
Pm 0.0000 0.0000 0.0000 x2  8 S 2.85-3.08
Pu 0.0000 0.0000 0.5000 x2  8 S 2.85-3.07
Cu 0.0000 0.5000 0.1904 x4  4 S 2.25-2.49
S 0.2403 0.2586 0.2248 x8  2 Cu 2.25-2.49



No. 15
An optimized crystal structure of PmPuCuS4, computed with PBE.

Calculated values
E_form (uncorrected)	-1.35	eV per atom
E_tot	-7.017	eV/atom
calculated volume	20.332	A^3/atom

Lattice parameters (Å, degrees): 6.7435 5.5507 7.9481 90.00 106.91 90.00
Last column: nearest neighbours and their distance in Å.
Space group P2_1/m (No. 11)
Unique sites:
Pm 0.2305 0.2500 0.4329 x2  8 S 2.80-3.02
Pu 0.2401 0.2500 0.9373 x2  8 S 2.80-2.98
Cu 0.2504 0.7500 0.1861 x2  4 S 2.26-2.28
S 0.0699 0.7500 0.3877 x2  1 Cu 2.28
S 0.0736 0.7500 0.8964 x2  1 Cu 2.26
S 0.4829 0.5139 0.7471 x4  1 Cu 2.26



No. 16
An optimized crystal structure of Pm2PuCuS5, computed with PBE.

Calculated values
E_form (uncorrected)	-1.61	eV per atom
E_tot	-7.007	eV/atom
calculated volume	21.301	A^3/atom

Lattice parameters (Å, degrees): 3.9121 16.9999 11.5303 90.00 90.00 90.00
Last column: nearest neighbours and their distance in Å.
Space group Cmc2_1 (No. 36)
Unique sites:
Pm 0.0000 0.1071 0.0000 x4  8 S 2.89-3.13
Pm 0.0000 0.1199 0.6243 x4  6 S 2.83-2.97
Pu 0.0000 0.1990 0.3243 x4  6 S 2.67-2.76
Cu 0.0000 0.4420 0.7672 x4  4 S 2.28-2.44
S 0.0000 0.0453 0.3724 x4  2 Cu 2.31
S 0.0000 0.2909 0.9902 x4  2 Pu 2.74, 2 Pm 2.92
S 0.0000 0.3173 0.6617 x4  1 Cu 2.44, 2 Pu 2.72
S 0.0000 0.3610 0.3162 x4  1 Pu 2.76, 4 Pm 2.93-2.97
S 0.0000 0.4982 0.0905 x4  1 Cu 2.28



No. 17
An optimized crystal structure of PmPuCuSb, computed with PBE.

Calculated values
E_form (uncorrected)	-0.36	eV per atom
E_tot	-7.185	eV/atom
calculated volume	25.401	A^3/atom

Lattice parameters (Å, degrees): 7.4072 7.4072 7.4072 90.00 90.00 90.00
Last column: nearest neighbours and their distance in Å.
Space group F-43m (No. 216)
Unique sites:
Pm 0.0000 0.0000 0.0000 x4  4 Sb 3.21, 4 Cu 3.21
Pu 0.0000 0.0000 0.5000 x4  4 Sb 3.21, 4 Cu 3.21
Cu 0.2500 0.2500 0.7500 x4  4 Pm 3.21, 4 Pu 3.21
Sb 0.2500 0.2500 0.2500 x4  4 Pm 3.21, 4 Pu 3.21



No. 18
An optimized crystal structure of PmPuCuSe4, computed with PBE.

Calculated values
E_form (uncorrected)	-1.22	eV per atom
E_tot	-6.522	eV/atom
calculated volume	23.414	A^3/atom

Lattice parameters (Å, degrees): 7.1173 5.8036 8.2843 90.00 106.68 90.00
Last column: nearest neighbours and their distance in Å.
Space group P2_1/m (No. 11)
Unique sites:
Pm 0.2359 0.2500 0.4321 x2  8 Se 2.94-3.14
Pu 0.2322 0.2500 0.9366 x2  8 Se 2.95-3.14, 1 Cu 3.22
Cu 0.2402 0.7500 0.1837 x2  4 Se 2.38-2.41
Se 0.0717 0.7500 0.3949 x2  1 Cu 2.39
Se 0.0759 0.7500 0.8898 x2  1 Cu 2.38
Se 0.4833 0.5091 0.7470 x4  1 Cu 2.41



No. 19
An optimized crystal structure of PmPu2CuSe5, computed with PBE.

Calculated values
E_form (uncorrected)	-1.34	eV per atom
E_tot	-7.445	eV/atom
calculated volume	24.051	A^3/atom

Lattice parameters (Å, degrees): 4.0141 17.5931 12.2607 90.00 90.00 90.00
Last column: nearest neighbours and their distance in Å.
Space group Cmc2_1 (No. 36)
Unique sites:
Pm 0.0000 0.1802 0.0000 x4  6 Se 2.91-2.94, 2 Cu 3.26
Pu 0.0000 0.1043 0.3212 x4  7 Se 2.94-3.16
Pu 0.0000 0.1154 0.6643 x4  8 Se 2.98-3.33
Cu 0.0000 0.4464 0.3955 x4  4 Se 2.39-2.45
Se 0.0000 0.0139 0.9912 x4  2 Cu 2.43
Se 0.0000 0.3047 0.6709 x4  2 Pm 2.91, 2 Pu 3.16
Se 0.0000 0.3163 0.3245 x4  1 Cu 2.45
Se 0.0000 0.3471 0.9903 x4  1 Pm 2.94, 4 Pu 3.00-3.01
Se 0.0000 0.4960 0.7191 x4  1 Cu 2.39



No. 20
An optimized crystal structure of PmPuCuSi, computed with PBE.

Calculated values
E_form (uncorrected)	-0.23	eV per atom
E_tot	-7.384	eV/atom
calculated volume	22.280	A^3/atom

Lattice parameters (Å, degrees): 7.0905 7.0905 7.0905 90.00 90.00 90.00
Last column: nearest neighbours and their distance in Å.
Space group F-43m (No. 216)
Unique sites:
Pm 0.0000 0.0000 0.0000 x4  4 Cu 3.07, 4 Si 3.07
Pu 0.0000 0.0000 0.5000 x4  4 Cu 3.07, 4 Si 3.07
Cu 0.2500 0.2500 0.7500 x4  4 Pm 3.07, 4 Pu 3.07
Si 0.2500 0.2500 0.2500 x4  4 Pm 3.07, 4 Pu 3.07



No. 21
An optimized crystal structure of PmPuCu2Si2, computed with PBE.

Calculated values
E_form (uncorrected)	-0.47	eV per atom
E_tot	-6.826	eV/atom
calculated volume	19.488	A^3/atom

Lattice parameters (Å, degrees): 4.1627 4.1627 7.7917 90.00 90.00 120.00
Last column: nearest neighbours and their distance in Å.
Space group P-3m1 (No. 164)
Unique sites:
Pm 0.0000 0.0000 0.0000 x1  6 Cu 3.12, 6 Si 3.13
Pu 0.0000 0.0000 0.5000 x1  6 Si 3.05, 6 Cu 3.07
Cu 0.3333 0.6667 0.2557 x2  3 Si 2.40
Si 0.3333 0.6667 0.7420 x2  3 Cu 2.40



No. 22
An optimized crystal structure of PmPuCuTc, computed with PBE.

Calculated values
E_tot	-8.264	eV/atom
calculated volume	20.938	A^3/atom

Lattice parameters (Å, degrees): 6.9452 6.9452 6.9452 90.00 90.00 90.00
Last column: nearest neighbours and their distance in Å.
Space group F-43m (No. 216)
Unique sites:
Pm 0.0000 0.0000 0.0000 x4  4 Tc 3.01, 4 Cu 3.01
Pu 0.0000 0.0000 0.5000 x4  4 Tc 3.01, 4 Cu 3.01
Cu 0.2500 0.2500 0.2500 x4  4 Pm 3.01, 4 Pu 3.01
Tc 0.2500 0.2500 0.7500 x4  4 Pm 3.01, 4 Pu 3.01



No. 23
An optimized crystal structure of RbPm2Cu2S4, computed with PBE.

Calculated values
E_form (uncorrected)	-1.17	eV per atom
E_tot	-5.078	eV/atom
calculated volume	25.314	A^3/atom

Lattice parameters (Å, degrees): 15.2894 3.7364 8.9177 90.00 116.57 90.00
Last column: nearest neighbours and their distance in Å.
Space group C2/m (No. 12)
Unique sites:
Rb 0.0000 0.0000 0.0000 x2  6 S 3.29-3.39
Pm 0.1166 0.0000 0.6084 x4  6 S 2.81-2.96, 3 Cu 3.10-3.14
Cu 0.1810 0.5000 0.3929 x4  4 S 2.36-2.56
S 0.0127 0.5000 0.3258 x4  1 Cu 2.37
S 0.2297 0.0000 0.2869 x4  3 Cu 2.36-2.56



No. 24
An optimized crystal structure of RbPmCuS2, computed with PBE.

Calculated values
E_form (uncorrected)	-1.09	eV per atom
E_tot	-4.704	eV/atom
calculated volume	29.070	A^3/atom

Lattice parameters (Å, degrees): 7.7584 4.6961 8.1143 90.00 100.48 90.00
Last column: nearest neighbours and their distance in Å.
Space group P2/c (No. 13)
Unique sites:
Rb 0.0000 0.1790 0.2500 x2  6 S 3.39-3.49
Pm 0.5000 0.4920 0.7500 x2  4 S 2.80, 4 Cu 3.07-3.13
Cu 0.5000 0.0000 0.0000 x2  2 S 2.22
S 0.2774 0.3054 0.9639 x4  1 Cu 2.22